No. 1
# TlZn2

A geometry-optimized TlZn2 structure (PBE-GGA, Alexandria via LeMat-Bulk).

a = 6.560 Å, b = 6.560 Å, c = 6.767 Å
α = 83.25°, β = 83.25°, γ = 26.20°
Positions (direct):
Zn 0.476 0.476 0.192
Tl 0.861 0.861 0.563
Zn 0.834 0.834 0.021
Tl 0.139 0.139 0.437
Zn 0.524 0.524 0.808
Zn 0.166 0.166 0.979

Computed properties:
- Formation energy: 0.16 eV/atom
- Energy: -4.43 eV per formula unit
- Magnetic moment: 0.0000 μB/atom
- Density of states at the Fermi level: 1.630 states/eV per cell
- SG: C2/m, No. 12
- Crystal system: monoclinic



No. 2
# TlZn2

A geometry-optimized TlZn2 structure (PBE-GGA, Alexandria via LeMat-Bulk).

a = 3.650 Å, b = 3.650 Å, c = 5.148 Å
α = 90.00°, β = 90.00°, γ = 90.00°
Positions (direct):
Zn 0.500 0.000 0.500
Tl 0.000 0.000 0.000
Zn 0.000 0.500 0.500

Computed properties:
- Formation energy: 0.18 eV/atom
- Energy: -4.37 eV per formula unit
- Magnetic moment: 0.0000 μB/atom
- Density of states at the Fermi level: 1.041 states/eV per cell
- SG: P4/mmm, No. 123
- Crystal system: tetragonal



No. 3
# TlZn2

A geometry-optimized TlZn2 structure (PBE-GGA, Alexandria via LeMat-Bulk).

a = 3.587 Å, b = 3.902 Å, c = 19.377 Å
α = 102.45°, β = 98.53°, γ = 89.60°
Positions (direct):
Zn 0.703 0.467 0.104
Zn 0.634 0.874 0.501
Zn 0.133 0.373 0.501
Zn 0.717 0.467 0.606
Zn 0.616 0.876 0.999
Zn 0.117 0.377 0.999
Tl 0.959 0.700 0.816
Zn 0.533 0.283 0.894
Tl 0.970 0.700 0.316
Tl 0.280 0.051 0.184
Zn 0.547 0.283 0.396
Tl 0.291 0.050 0.684

Computed properties:
- Formation energy: 0.13 eV/atom
- Energy: -4.52 eV per formula unit
- Magnetic moment: 0.0000 μB/atom
- Density of states at the Fermi level: 3.350 states/eV per cell
- SG: P-1, No. 2
- Crystal system: triclinic



No. 4
# TlZn

A geometry-optimized TlZn structure (PBE-GGA, Alexandria via LeMat-Bulk).

a = 5.790 Å, b = 5.790 Å, c = 5.790 Å
α = 90.00°, β = 90.00°, γ = 90.00°
Positions (direct):
Tl 0.411 0.411 0.411
Tl 0.589 0.911 0.089
Zn 0.908 0.592 0.408
Zn 0.092 0.092 0.092
Zn 0.592 0.408 0.908
Tl 0.911 0.089 0.589
Zn 0.408 0.908 0.592
Tl 0.089 0.589 0.911

Computed properties:
- Formation energy: 0.20 eV/atom
- Energy: -3.25 eV per formula unit
- Magnetic moment: 0.0000 μB/atom
- Density of states at the Fermi level: 1.459 states/eV per cell
- SG: P2_13, No. 198
- Crystal system: cubic



No. 5
# TlZn2

A geometry-optimized TlZn2 structure (PBE-GGA, Alexandria via LeMat-Bulk).

a = 10.080 Å, b = 10.080 Å, c = 4.059 Å
α = 90.00°, β = 90.00°, γ = 161.41°
Positions (direct):
Zn 0.452 0.548 0.750
Tl 0.186 0.814 0.250
Tl 0.814 0.186 0.750
Zn 0.548 0.452 0.250
Zn 0.071 0.929 0.750
Zn 0.929 0.071 0.250

Computed properties:
- Formation energy: 0.11 eV/atom
- Energy: -4.59 eV per formula unit
- Magnetic moment: 0.0000 μB/atom
- Density of states at the Fermi level: 1.647 states/eV per cell
- SG: Cmcm, No. 63
- Crystal system: orthorhombic



No. 6
# TlZn3

A geometry-optimized TlZn3 structure (PBE-GGA, Alexandria via LeMat-Bulk).

a = 5.541 Å, b = 5.541 Å, c = 5.541 Å
α = 90.00°, β = 90.00°, γ = 90.00°
Positions (direct):
Tl 0.000 0.000 0.000
Zn 0.000 0.500 0.000
Zn 0.000 0.000 0.500
Zn 0.500 0.000 0.000

Computed properties:
- Formation energy: 0.60 eV/atom
- Energy: -3.80 eV per formula unit
- Magnetic moment: 0.0000 μB/atom
- Density of states at the Fermi level: 0.270 states/eV per cell
- SG: Pm-3m, No. 221
- Crystal system: cubic



No. 7
# TlZn

A geometry-optimized TlZn structure (PBE-GGA, Alexandria via LeMat-Bulk).

a = 8.576 Å, b = 8.576 Å, c = 5.280 Å
α = 90.00°, β = 90.00°, γ = 90.00°
Positions (direct):
Zn 0.152 0.152 0.000
Zn 0.348 0.652 0.500
Zn 0.652 0.348 0.500
Zn 0.348 0.348 0.500
Tl 0.794 0.500 0.000
Zn 0.848 0.848 0.000
Tl 0.000 0.294 0.500
Tl 0.294 0.000 0.500
Tl 0.500 0.794 0.000
Tl 0.706 0.000 0.500
Zn 0.652 0.652 0.500
Tl 0.206 0.500 0.000
Zn 0.848 0.152 0.000
Zn 0.152 0.848 0.000
Tl 0.500 0.206 0.000
Tl 0.000 0.706 0.500

Computed properties:
- Formation energy: 0.14 eV/atom
- Energy: -3.36 eV per formula unit
- Magnetic moment: 0.0000 μB/atom
- Density of states at the Fermi level: 4.158 states/eV per cell
- SG: I4/mmm, No. 139
- Crystal system: tetragonal



No. 8
# TlZn2

A geometry-optimized TlZn2 structure (PBE-GGA, Alexandria via LeMat-Bulk).

a = 4.445 Å, b = 5.432 Å, c = 11.072 Å
α = 90.00°, β = 90.00°, γ = 90.00°
Positions (direct):
Tl 0.750 0.994 0.863
Zn 0.250 0.507 0.056
Zn 0.250 0.991 0.684
Zn 0.750 0.993 0.556
Zn 0.750 0.493 0.944
Tl 0.250 0.006 0.137
Zn 0.250 0.007 0.444
Tl 0.750 0.494 0.637
Zn 0.750 0.509 0.184
Zn 0.250 0.491 0.816
Zn 0.750 0.009 0.316
Tl 0.250 0.506 0.363

Computed properties:
- Formation energy: 0.13 eV/atom
- Energy: -4.51 eV per formula unit
- Magnetic moment: 0.0000 μB/atom
- Density of states at the Fermi level: 3.990 states/eV per cell
- SG: Pnma, No. 62
- Crystal system: orthorhombic



What is the formation energy in the fifth record? 0.11 eV/atom



What is the formula in the third record? TlZn2